[1]
A relaxed Ti8FeIr2 crystal. Source: Alexandria, functional PBE-GGA.

Summary:
Total magnetic moment in μB/f.u.: 0.001
Electronic total energy in eV per atom: -8.50

abc: 14.2428 4.4278 5.9158
angles: 90.00 108.75 90.00
Space group C2/m (No. 12)
Inequivalent atoms, fractional coordinates:
1 Ti 0.0149 0.0000 0.2544 [4 per cell]
2 Ti 0.0934 0.5000 0.9349 [4 per cell]
3 Ti 0.1576 0.5000 0.4387 [4 per cell]
4 Ti 0.1901 0.0000 0.7714 [4 per cell]
5 Fe 0.0000 0.5000 0.5000 [2 per cell]
6 Ir 0.1848 0.0000 0.1936 [4 per cell]

---

[2]
A relaxed TiFe2Ir crystal. Source: Alexandria, functional PBE-GGA.

Summary:
Total magnetic moment in μB/f.u.: 4.600
Electronic total energy in eV per atom: -8.72

abc: 5.9889 5.9889 5.9889
angles: 90.00 90.00 90.00
Space group Fm-3m (No. 225)
Inequivalent atoms, fractional coordinates:
1 Ti 0.0000 0.0000 0.0000 [4 per cell]
2 Fe 0.2500 0.2500 0.2500 [8 per cell]
3 Ir 0.0000 0.0000 0.5000 [4 per cell]

---

[3]
A relaxed Ti4FeIr3 crystal. Source: Alexandria, functional PBE-GGA.

Summary:
Total magnetic moment in μB/f.u.: 1.635
Electronic total energy in eV per atom: -9.06

abc: 13.1817 4.3568 4.3568
angles: 90.00 109.23 90.00
Space group C2/m (No. 12)
Inequivalent atoms, fractional coordinates:
1 Ti 0.1215 0.0000 0.1214 [4 per cell]
2 Ti 0.1215 0.5000 0.6216 [4 per cell]
3 Fe 0.0000 0.5000 0.0000 [2 per cell]
4 Ir 0.0000 0.0000 0.5000 [2 per cell]
5 Ir 0.2445 0.5000 0.2444 [4 per cell]

---

[4]
A relaxed Ti3FeIr crystal. Source: Alexandria, functional PBE-GGA.

Summary:
Total magnetic moment in μB/f.u.: 0.743
Energy relative to the lowest polymorph listed for this composition in eV/f.u.: 0.000
Electronic total energy in eV per atom: -8.69

abc: 6.0704 6.0704 6.0704
angles: 90.00 90.00 90.00
Space group Pm-3m (No. 221)
Inequivalent atoms, fractional coordinates:
1 Ti 0.0000 0.0000 0.0000 [1 per cell]
2 Ti 0.2616 0.2616 0.2616 [8 per cell]
3 Fe 0.0000 0.5000 0.5000 [3 per cell]
4 Ir 0.0000 0.0000 0.5000 [3 per cell]

---

[5]
A relaxed Ti3FeIr crystal. Source: Alexandria, functional PBE-GGA.

Summary:
Total magnetic moment in μB/f.u.: 0.000
Energy relative to the lowest polymorph listed for this composition in eV/f.u.: 3.601
Electronic total energy in eV per atom: -7.97

abc: 4.3751 4.3751 4.3751
angles: 90.00 90.00 90.00
Space group Pm-3m (No. 221)
Inequivalent atoms, fractional coordinates:
1 Ti 0.0000 0.0000 0.5000 [3 per cell]
2 Fe 0.0000 0.0000 0.0000 [1 per cell]
3 Ir 0.5000 0.5000 0.5000 [1 per cell]

---

[6]
A relaxed TiFe3Ir crystal. Source: Alexandria, functional PBE-GGA.

Summary:
Total magnetic moment in μB/f.u.: 0.001
Energy relative to the lowest polymorph listed for this composition in eV/f.u.: 1.389
Electronic total energy in eV per atom: -7.02

abc: 4.1316 4.1316 4.1316
angles: 90.00 90.00 90.00
Space group Pm-3m (No. 221)
Inequivalent atoms, fractional coordinates:
1 Ti 0.0000 0.0000 0.0000 [1 per cell]
2 Fe 0.0000 0.0000 0.5000 [3 per cell]
3 Ir 0.5000 0.5000 0.5000 [1 per cell]

---

[7]
A relaxed Ti2Fe2Ir crystal. Source: Alexandria, functional PBE-GGA.

Summary:
Total magnetic moment in μB/f.u.: 2.552
Energy relative to the lowest polymorph listed for this composition in eV/f.u.: 0.000
Electronic total energy in eV per atom: -8.65

abc: 3.4585 13.8362 2.9008
angles: 90.00 90.00 90.00
Space group Cmmm (No. 65)
Inequivalent atoms, fractional coordinates:
1 Ti 0.0000 0.1123 0.0000 [4 per cell]
2 Fe 0.0000 0.3005 0.5000 [4 per cell]
3 Ir 0.0000 0.5000 0.5000 [2 per cell]

---

[8]
A relaxed Ti2FeIr crystal. Source: Alexandria, functional PBE-GGA.

Summary:
Total magnetic moment in μB/f.u.: 0.000
Energy relative to the lowest polymorph listed for this composition in eV/f.u.: 3.670
Electronic total energy in eV per atom: -8.01

abc: 3.9364 3.9364 16.4126
angles: 90.00 90.00 90.00
Space group I-42d (No. 122)
Inequivalent atoms, fractional coordinates:
1 Ti 0.2383 0.2500 0.1250 [8 per cell]
2 Fe 0.0000 0.0000 0.0000 [4 per cell]
3 Ir 0.0000 0.0000 0.5000 [4 per cell]

---

Number 1: mass density 7.7 g cm⁻³, ΔH_f (0 K) -0.3827 eV/atom. Number 2: mass density 10.9 g cm⁻³, ΔH_f (0 K) -0.2990 eV/atom. Number 3: mass density 11.6 g cm⁻³, ΔH_f (0 K) -0.7292 eV/atom. Number 4: mass density 8.7 g cm⁻³, ΔH_f (0 K) -0.4838 eV/atom. Number 5: mass density 7.8 g cm⁻³, ΔH_f (0 K) 0.2363 eV/atom. Number 6: mass density 9.6 g cm⁻³, ΔH_f (0 K) 1.4046 eV/atom. Number 7: mass density 9.6 g cm⁻³, ΔH_f (0 K) -0.3299 eV/atom. Number 8: mass density 9.0 g cm⁻³, ΔH_f (0 K) 0.2642 eV/atom.